1.
Below is an optimized crystal structure of Rb2ErZn3F12, with properties calculated at the GGA-PBE level.

Values from the calculation:
* D(E_F): 5.75 states/eV per cell
* symmetry: R-3m
* total energy: -4.55 eV/atom
* calculated volume: 16.95 Å³/atom
* crystal system: trigonal
* formation energy (no corrections): -49.136 eV per formula unit

a b c (Å): 7.676 7.676 7.676
angles (deg): 58.01 58.01 58.01
Positions (direct):
Zn 0.500 0.000 0.000
F 0.085 0.085 0.654
F 0.654 0.085 0.085
F 0.085 0.654 0.085
Zn 0.000 0.000 0.500
F 0.083 0.690 0.690
F 0.917 0.310 0.310
Er 0.000 0.000 0.000
F 0.690 0.083 0.690
Zn 0.000 0.500 0.000
Rb 0.384 0.384 0.384
F 0.310 0.917 0.310
F 0.346 0.915 0.915
F 0.915 0.915 0.346
F 0.690 0.690 0.083
F 0.915 0.346 0.915
F 0.310 0.310 0.917
Rb 0.616 0.616 0.616

---

2.
Below is an optimized crystal structure of ErReF, with properties calculated at the GGA-PBE level.

Values from the calculation:
* D(E_F): 3.77 states/eV per cell
* symmetry: P4/nmm
* total energy: -7.90 eV/atom
* calculated volume: 15.64 Å³/atom
* crystal system: tetragonal
* formation energy (no corrections): -4.828 eV per formula unit

a b c (Å): 3.170 3.170 9.343
angles (deg): 90.00 90.00 90.00
Positions (direct):
Er 0.000 0.500 0.197
F 0.000 0.500 0.933
Er 0.500 0.000 0.803
Re 0.000 0.500 0.571
F 0.500 0.000 0.067
Re 0.500 0.000 0.429

---

3.
Below is an optimized crystal structure of Er2S2F, with properties calculated at the GGA-PBE level.

Values from the calculation:
* D(E_F): 1.92 states/eV per cell
* symmetry: C2/m
* total energy: -6.10 eV/atom
* calculated volume: 26.27 Å³/atom
* crystal system: monoclinic
* energy above the most stable polymorph in this dataset: 0 meV per atom
* formation energy (no corrections): -11.254 eV per formula unit

a b c (Å): 4.012 7.056 9.559
angles (deg): 96.58 102.11 90.00
Positions (direct):
Er 0.339 0.602 0.678
Er 0.157 0.882 0.315
S 0.102 0.201 0.204
S 0.898 0.799 0.796
Er 0.843 0.118 0.685
S 0.407 0.303 0.814
Er 0.661 0.398 0.322
F 0.218 0.583 0.436
S 0.593 0.697 0.186
F 0.782 0.417 0.564

---

Values for magnetic moment, μB/cell, ordered as above
0.00 0.00 0.00